Entry 1:
A plane-wave DFT calculation with meta-GGA SCAN was carried out for a crystal of Sc2SiSe relaxed with PBEsol.

Unit cell a=6.7416 b=6.7416 c=6.7416 alpha=32.58 beta=32.58 gamma=32.58
Element x y z (fractional)
Sc 0.2466 0.2466 0.2466
Sc 0.7534 0.7534 0.7534
Si 0.5000 0.5000 0.5000
Se 0.0000 0.0000 0.0000

## Properties
Space-group type   R-3m
Fermi-level density of states   0.83 states/eV per cell
Raw formation energy   -1.29 eV/atom
Excess energy over the best structure of this formula in the dataset   0.000 eV per atom

***

Entry 2:
A plane-wave DFT calculation with meta-GGA SCAN was carried out for a crystal of Cr2NiAs relaxed with PBEsol.

Unit cell a=3.1391 b=3.1391 c=4.8192 alpha=90.00 beta=90.00 gamma=90.00
Element x y z (fractional)
Cr 0.0000 0.0000 0.2485
Cr 0.0000 0.0000 0.7515
Ni 0.5000 0.5000 0.5000
As 0.5000 0.5000 0.0000

## Properties
Space-group type   P4/mmm
Fermi-level density of states   3.76 states/eV per cell
Energy of formation from the pure elements   164 meV/atom